# InMo2PbO8, optimized geometry, DFT PBE+U
data_InMo2PbO8
_cell_length_a 5.959
_cell_length_b 5.959
_cell_length_c 7.007
_cell_angle_alpha 90.00
_cell_angle_beta 90.00
_cell_angle_gamma 120.00
_space_group_name_H-M_alt 'P 1'
_space_group_IT_number 1
loop_
_space_group_symop_operation_xyz
'x,y,z'
loop_
_atom_site_label
_atom_site_fract_x
_atom_site_fract_y
_atom_site_fract_z
_atom_site_occupancy
In1 0.000 0.000 0.000 1
Mo1 0.333 0.667 0.280 1
Mo2 0.667 0.333 0.720 1
Pb1 0.000 0.000 0.500 1
O1 0.161 0.323 0.208 1
O2 0.161 0.839 0.208 1
O3 0.323 0.161 0.792 1
O4 0.333 0.667 0.530 1
O5 0.667 0.333 0.470 1
O6 0.677 0.839 0.208 1
O7 0.839 0.161 0.792 1
O8 0.839 0.677 0.792 1
# * energy: -77.36 eV per cell
# * spin magnetization: 1.00 μB per formula unit
# * calculated density: 4946 kg/m3